[1]
# PBE LaTb6Tm3Th2, relaxed
# Size of the total moment, μB per formula unit: 0.0
# DOS(E_F), states/eV per cell: 36.14
# ΔH_f (0 K), meV per atom: 36
data_LaTb6Tm3Th2
_chemical_formula_sum 'La2 Tb12 Tm6 Th4'
_symmetry_space_group_name_H-M 'C 1 2/m 1'
_symmetry_Int_Tables_number 12
_cell_length_a 6.186
_cell_length_b 10.699
_cell_length_c 11.770
_cell_angle_alpha 90.00
_cell_angle_beta 100.08
_cell_angle_gamma 90.00
loop_
_symmetry_equiv_pos_as_xyz
'x,y,z'
'-x,-y,-z'
'-x,y,-z'
'x,-y,z'
'x+1/2,y+1/2,z'
'-x+1/2,-y+1/2,-z'
'-x+1/2,y+1/2,-z'
'x+1/2,-y+1/2,z'
loop_
_atom_site_label
_atom_site_type_symbol
_atom_site_fract_x
_atom_site_fract_y
_atom_site_fract_z
La1 La 0.000 0.000 0.000
Tb1 Tb 0.246 0.331 0.749
Tb2 Tb 0.246 0.500 0.251
Tm1 Tm 0.000 0.167 0.500
Tm2 Tm 0.000 0.500 0.500
Th1 Th 0.000 0.333 0.000

[2]
# PBE LaTbTm3Th, relaxed
# Size of the total moment, μB per formula unit: 0.0
# DOS(E_F), states/eV per cell: 32.39
# ΔH_f (0 K), meV per atom: 222
data_LaTbTm3Th
_chemical_formula_sum 'La4 Tb4 Tm12 Th4'
_symmetry_space_group_name_H-M 'C 1 2/m 1'
_symmetry_Int_Tables_number 12
_cell_length_a 19.515
_cell_length_b 5.625
_cell_length_c 7.057
_cell_angle_alpha 90.00
_cell_angle_beta 90.10
_cell_angle_gamma 90.00
loop_
_symmetry_equiv_pos_as_xyz
'x,y,z'
'-x,-y,-z'
'-x,y,-z'
'x,-y,z'
'x+1/2,y+1/2,z'
'-x+1/2,-y+1/2,-z'
'-x+1/2,y+1/2,-z'
'x+1/2,-y+1/2,z'
loop_
_atom_site_label
_atom_site_type_symbol
_atom_site_fract_x
_atom_site_fract_y
_atom_site_fract_z
La1 La 0.146 0.000 0.456
Tb1 Tb 0.149 0.000 0.036
Tm1 Tm 0.024 0.000 0.758
Tm2 Tm 0.158 0.500 0.762
Tm3 Tm 0.221 0.500 0.251
Th1 Th 0.052 0.500 0.223

[3]
# PBE LaTbTmTh, relaxed
# Size of the total moment, μB per formula unit: 0.0
# Excess energy over the best structure of this formula in the dataset, eV/f.u.: 0.00
# DOS(E_F), states/eV per cell: 4.21
# ΔH_f (0 K), meV per atom: 16
data_LaTbTmTh
_chemical_formula_sum 'La1 Tb1 Tm1 Th1'
_symmetry_space_group_name_H-M 'P 4 m m'
_symmetry_Int_Tables_number 99
_cell_length_a 3.613
_cell_length_b 3.613
_cell_length_c 10.051
_cell_angle_alpha 90.00
_cell_angle_beta 90.00
_cell_angle_gamma 90.00
loop_
_symmetry_equiv_pos_as_xyz
'x,y,z'
'-y,x,z'
'-x,-y,z'
'y,-x,z'
'-x,y,z'
'y,x,z'
'x,-y,z'
'-y,-x,z'
loop_
_atom_site_label
_atom_site_type_symbol
_atom_site_fract_x
_atom_site_fract_y
_atom_site_fract_z
La1 La 0.000 0.000 0.000
Tb1 Tb 0.500 0.500 0.734
Tm1 Tm 0.500 0.500 0.259
Th1 Th 0.000 0.000 0.495

[4]
# PBE LaTbTmTh2, relaxed
# Size of the total moment, μB per formula unit: 0.0
# DOS(E_F), states/eV per cell: 30.39
# ΔH_f (0 K), meV per atom: 445
data_LaTbTmTh2
_chemical_formula_sum 'La4 Tb4 Tm4 Th8'
_symmetry_space_group_name_H-M 'C m c m'
_symmetry_Int_Tables_number 63
_symmetry_space_group_name_Hall '-C 2c 2'
_cell_length_a 8.559
_cell_length_b 11.879
_cell_length_c 7.090
_cell_angle_alpha 90.00
_cell_angle_beta 90.00
_cell_angle_gamma 90.00
loop_
_atom_site_label
_atom_site_type_symbol
_atom_site_fract_x
_atom_site_fract_y
_atom_site_fract_z
La1 La 0.000 0.244 0.250
Tb1 Tb 0.000 0.289 0.750
Tm1 Tm 0.000 0.024 0.750
Th1 Th 0.188 0.500 0.000

[5]
# PBE La2Tb6Tm3Th, relaxed
# Size of the total moment, μB per formula unit: 0.0
# DOS(E_F), states/eV per cell: 35.68
# ΔH_f (0 K), meV per atom: 35
data_La2Tb6Tm3Th
_chemical_formula_sum 'La4 Tb12 Tm6 Th2'
_symmetry_space_group_name_H-M 'C 1 2/m 1'
_symmetry_Int_Tables_number 12
_cell_length_a 6.205
_cell_length_b 10.738
_cell_length_c 11.822
_cell_angle_alpha 90.00
_cell_angle_beta 100.08
_cell_angle_gamma 90.00
loop_
_symmetry_equiv_pos_as_xyz
'x,y,z'
'-x,-y,-z'
'-x,y,-z'
'x,-y,z'
'x+1/2,y+1/2,z'
'-x+1/2,-y+1/2,-z'
'-x+1/2,y+1/2,-z'
'x+1/2,-y+1/2,z'
loop_
_atom_site_label
_atom_site_type_symbol
_atom_site_fract_x
_atom_site_fract_y
_atom_site_fract_z
La1 La 0.000 0.167 0.000
Tb1 Tb 0.243 0.500 0.746
Tb2 Tb 0.250 0.165 0.746
Tm1 Tm 0.000 0.000 0.500
Tm2 Tm 0.000 0.333 0.500
Th1 Th 0.000 0.500 0.000

[6]
# PBE La5TbTm2Th, relaxed
# Size of the total moment, μB per formula unit: 0.0
# DOS(E_F), states/eV per cell: 51.93
# ΔH_f (0 K), meV per atom: 130
data_La5TbTm2Th
_chemical_formula_sum 'La20 Tb4 Tm8 Th4'
_symmetry_space_group_name_H-M 'C m c 21'
_symmetry_Int_Tables_number 36
_cell_length_a 5.496
_cell_length_b 21.635
_cell_length_c 10.704
_cell_angle_alpha 90.00
_cell_angle_beta 90.00
_cell_angle_gamma 90.00
loop_
_symmetry_equiv_pos_as_xyz
'x,y,z'
'-x,-y,z+1/2'
'-x,y,z'
'x,-y,z+1/2'
'x+1/2,y+1/2,z'
'-x+1/2,-y+1/2,z+1/2'
'-x+1/2,y+1/2,z'
'x+1/2,-y+1/2,z+1/2'
loop_
_atom_site_label
_atom_site_type_symbol
_atom_site_fract_x
_atom_site_fract_y
_atom_site_fract_z
La1 La 0.000 0.000 0.000
La2 La 0.000 0.127 0.250
La3 La 0.000 0.223 0.558
La4 La 0.000 0.223 0.943
La5 La 0.000 0.498 0.750
Tb1 Tb 0.000 0.102 0.750
Tm1 Tm 0.000 0.388 0.008
Tm2 Tm 0.000 0.388 0.493
Th1 Th 0.000 0.288 0.251

[7]
# PBE LaTb5TmTh2, relaxed
# Size of the total moment, μB per formula unit: 0.0
# DOS(E_F), states/eV per cell: 52.26
# ΔH_f (0 K), meV per atom: 331
data_LaTb5TmTh2
_chemical_formula_sum 'La4 Tb20 Tm4 Th8'
_symmetry_space_group_name_H-M 'I 4/m c m'
_symmetry_Int_Tables_number 140
_symmetry_space_group_name_Hall '-I 4 2c'
_cell_length_a 8.919
_cell_length_b 8.919
_cell_length_c 15.294
_cell_angle_alpha 90.00
_cell_angle_beta 90.00
_cell_angle_gamma 90.00
loop_
_atom_site_label
_atom_site_type_symbol
_atom_site_fract_x
_atom_site_fract_y
_atom_site_fract_z
La1 La 0.000 0.000 0.250
Tb1 Tb 0.000 0.000 0.000
Tb2 Tb 0.207 0.293 0.136
Tm1 Tm 0.000 0.500 0.250
Th1 Th 0.119 0.381 0.500

[8]
# PBE La2TbTm4Th, relaxed
# Size of the total moment, μB per formula unit: 0.0
# DOS(E_F), states/eV per cell: 11.03
# ΔH_f (0 K), meV per atom: 36
data_La2TbTm4Th
_chemical_formula_sum 'La2 Tb1 Tm4 Th1'
_symmetry_space_group_name_H-M 'P 4/m m m'
_symmetry_Int_Tables_number 123
_symmetry_space_group_name_Hall '-P 4 2'
_cell_length_a 5.132
_cell_length_b 5.132
_cell_length_c 9.801
_cell_angle_alpha 90.00
_cell_angle_beta 90.00
_cell_angle_gamma 90.00
loop_
_atom_site_label
_atom_site_type_symbol
_atom_site_fract_x
_atom_site_fract_y
_atom_site_fract_z
La1 La 0.000 0.000 0.000
La2 La 0.500 0.500 0.500
Tb1 Tb 0.000 0.000 0.500
Tm1 Tm 0.000 0.500 0.246
Th1 Th 0.500 0.500 0.000

[9]
# PBE La6TbTm2Th, relaxed
# Size of the total moment, μB per formula unit: 0.0
# DOS(E_F), states/eV per cell: 57.64
# ΔH_f (0 K), meV per atom: 124
data_La6TbTm2Th
_chemical_formula_sum 'La24 Tb4 Tm8 Th4'
_symmetry_space_group_name_H-M 'C 1 2/c 1'
_symmetry_Int_Tables_number 15
_cell_length_a 9.479
_cell_length_b 15.144
_cell_length_c 9.860
_cell_angle_alpha 90.00
_cell_angle_beta 98.76
_cell_angle_gamma 90.00
loop_
_symmetry_equiv_pos_as_xyz
'x,y,z'
'-x,-y,-z'
'-x,y,-z+1/2'
'x,-y,z+1/2'
'x+1/2,y+1/2,z'
'-x+1/2,-y+1/2,-z'
'-x+1/2,y+1/2,-z+1/2'
'x+1/2,-y+1/2,z+1/2'
loop_
_atom_site_label
_atom_site_type_symbol
_atom_site_fract_x
_atom_site_fract_y
_atom_site_fract_z
La1 La 0.069 0.171 0.441
La2 La 0.095 0.396 0.620
La3 La 0.209 0.216 0.810
Tb1 Tb 0.000 0.407 0.250
Tm1 Tm 0.240 0.043 0.053
Th1 Th 0.000 0.033 0.750

[10]
# PBE LaTbYTh2, relaxed
# Size of the total moment, μB per formula unit: 0.0
# DOS(E_F), states/eV per cell: 33.04
# ΔH_f (0 K), meV per atom: 362
data_LaTbYTh2
_chemical_formula_sum 'La4 Tb4 Y4 Th8'
_symmetry_space_group_name_H-M 'C m c m'
_symmetry_Int_Tables_number 63
_symmetry_space_group_name_Hall '-C 2c 2'
_cell_length_a 6.734
_cell_length_b 15.811
_cell_length_c 6.736
_cell_angle_alpha 90.00
_cell_angle_beta 90.00
_cell_angle_gamma 90.00
loop_
_atom_site_label
_atom_site_type_symbol
_atom_site_fract_x
_atom_site_fract_y
_atom_site_fract_z
La1 La 0.000 0.250 0.250
Tb1 Tb 0.000 0.150 0.750
Y1 Y 0.000 0.349 0.750
Th1 Th 0.250 0.000 0.000